[1]
Crystalline ZrCoSi at its relaxed geometry, computed with GGA-PBE.

Cell and atoms, written as POSCAR:
```
ZrCoSi
1.0
3.996 0.000 0.000
0.000 6.046 0.000
0.000 0.000 7.689
Zr Si Co
4 4 4
Direct
0.250 0.174 0.915 Zr
0.750 0.826 0.085 Zr
0.250 0.674 0.585 Zr
0.750 0.326 0.415 Zr
0.750 0.492 0.787 Si
0.250 0.008 0.287 Si
0.250 0.508 0.213 Si
0.750 0.992 0.713 Si
0.750 0.385 0.074 Co
0.250 0.615 0.926 Co
0.750 0.885 0.426 Co
0.250 0.115 0.574 Co
```

- Electronic total energy: -7.550 eV per atom
- Space group: Pnma
- Formation energy (no corrections): -524 meV/atom

***

[2]
Crystalline SbPd3Br at its relaxed geometry, computed with GGA-PBE.

Cell and atoms, written as POSCAR:
```
SbPd3Br
1.0
-1.484 3.167 -0.851
-6.745 -2.827 1.232
-1.116 3.415 7.050
Br Pd Sb
2 6 2
Direct
0.988 0.744 0.526 Br
0.012 0.256 0.474 Br
0.143 0.030 0.216 Pd
0.176 0.434 0.150 Pd
0.857 0.970 0.784 Pd
0.824 0.566 0.850 Pd
0.377 0.281 0.745 Pd
0.623 0.719 0.255 Pd
0.252 0.779 0.995 Sb
0.748 0.221 0.005 Sb
```

- Electronic total energy: -4.510 eV per atom
- Space group: P-1
- Formation energy (no corrections): -235 meV/atom
- Energy above the most stable polymorph in this dataset: 0 meV/atom

***

[3]
Crystalline InOsPt at its relaxed geometry, computed with GGA-PBE.

Cell and atoms, written as POSCAR:
```
InOsPt
1.0
-1.045 -3.411 1.496
2.797 -0.778 0.181
0.434 3.468 8.212
Pt Os In
2 2 2
Direct
0.000 0.000 0.612 Pt
0.000 0.000 0.268 Pt
0.500 0.500 0.790 Os
0.000 0.000 0.912 Os
0.500 0.500 0.454 In
0.500 0.500 0.099 In
```

- Electronic total energy: -6.676 eV per atom
- Space group: Pmm2
- Energy of formation: -6 meV/atom
- Energy above the most stable polymorph in this dataset: 28 meV/atom

***

[4]
Crystalline PuB5Pt11 at its relaxed geometry, computed with GGA-PBE.

Cell and atoms, written as POSCAR:
```
PuB5Pt11
1.0
6.527 1.500 -1.034
-1.877 5.981 -0.956
0.558 0.394 6.304
B Pt Pu
5 11 1
Direct
0.339 0.040 0.688 B
0.000 0.500 0.500 B
0.339 0.688 0.040 B
0.661 0.312 0.960 B
0.661 0.960 0.312 B
0.898 0.813 0.450 Pt
0.500 0.000 0.000 Pt
0.359 0.366 0.884 Pt
0.898 0.450 0.813 Pt
0.359 0.884 0.366 Pt
0.641 0.634 0.116 Pt
0.222 0.715 0.715 Pt
0.778 0.285 0.285 Pt
0.102 0.550 0.187 Pt
0.641 0.116 0.634 Pt
0.102 0.187 0.550 Pt
0.000 0.000 0.000 Pu
```

- Electronic total energy: -7.021 eV per atom
- Space group: C2/m
- Energy of formation: -305 meV/atom

***

[5]
Crystalline Ag4HgSCl2 at its relaxed geometry, computed with GGA-PBE.

Cell and atoms, written as POSCAR:
```
Ag4HgSCl2
1.0
-2.071 -2.378 7.245
6.678 -4.067 1.141
0.319 7.706 -1.675
Hg Ag S Cl
2 8 2 4
Direct
0.000 0.500 0.500 Hg
0.000 0.500 0.000 Hg
0.744 0.757 0.549 Ag
0.257 0.244 0.049 Ag
0.265 0.751 0.508 Ag
0.749 0.235 0.992 Ag
0.743 0.756 0.951 Ag
0.735 0.249 0.492 Ag
0.251 0.765 0.008 Ag
0.256 0.243 0.451 Ag
0.500 0.500 0.500 S
0.000 0.000 0.000 S
0.500 0.000 0.500 Cl
0.000 0.000 0.500 Cl
0.500 0.000 0.000 Cl
0.500 0.500 0.000 Cl
```

- Electronic total energy: -2.589 eV per atom
- Space group: Imma
- Formation energy (no corrections): -148 meV/atom

***

[6]
Crystalline SiSe2F at its relaxed geometry, computed with GGA-PBE.

Cell and atoms, written as POSCAR:
```
SiSe2F
1.0
1.664 0.000 8.984
-0.832 1.441 8.984
-0.832 -1.441 8.984
Si Se F
1 2 1
Direct
0.000 0.000 0.000 Si
0.091 0.091 0.091 Se
0.909 0.909 0.909 Se
0.500 0.500 0.500 F
```

- Electronic total energy: -3.620 eV per atom
- Space group: R-3m
- Formation energy (no corrections): -54 meV/atom
- Energy above the most stable polymorph in this dataset: 381 meV/atom

***

[7]
Crystalline Li2YAl at its relaxed geometry, computed with GGA-PBE.

Cell and atoms, written as POSCAR:
```
Li2YAl
1.0
10.239 -0.066 -0.039
9.754 3.115 -0.039
9.754 1.487 2.737
Li Al Y
2 1 1
Direct
0.011 0.011 0.011 Li
0.489 0.489 0.489 Li
0.750 0.750 0.750 Al
0.250 0.250 0.250 Y
```

- Electronic total energy: -3.363 eV per atom
- Space group: R-3m
- Energy of formation: 146 meV/atom

***

[8]
Crystalline BaGa2Pt2 at its relaxed geometry, computed with GGA-PBE.

Cell and atoms, written as POSCAR:
```
BaGa2Pt2
1.0
8.037 0.000 0.000
0.000 8.037 0.000
0.000 0.000 3.224
Ba Ga Pt
2 4 4
Direct
0.000 0.000 0.000 Ba
0.500 0.500 0.000 Ba
0.864 0.364 0.500 Ga
0.136 0.636 0.500 Ga
0.364 0.136 0.500 Ga
0.636 0.864 0.500 Ga
0.131 0.369 0.000 Pt
0.369 0.869 0.000 Pt
0.631 0.131 0.000 Pt
0.869 0.631 0.000 Pt
```

- Electronic total energy: -4.385 eV per atom
- Space group: P4/mbm
- Energy of formation: -373 meV/atom

***

[9]
Crystalline LaRu2Pt at its relaxed geometry, computed with GGA-PBE.

Cell and atoms, written as POSCAR:
```
LaRu2Pt
1.0
2.843 0.000 0.000
0.000 4.067 0.000
0.000 0.000 6.392
Ru La Pt
2 1 1
Direct
0.000 0.000 0.944 Ru
0.000 0.000 0.556 Ru
0.500 0.500 0.250 La
0.500 0.500 0.750 Pt
```

- Electronic total energy: -7.233 eV per atom
- Space group: Pmmm
- Energy of formation: 146 meV/atom
- Energy above the most stable polymorph in this dataset: 311 meV/atom

***

[10]
Crystalline SrAs6 at its relaxed geometry, computed with GGA-PBE.

Cell and atoms, written as POSCAR:
```
SrAs6
1.0
-4.024 1.591 4.746
-0.068 -6.369 -0.819
5.946 1.902 1.507
As Sr
6 1
Direct
0.750 0.500 0.250 As
0.500 0.250 0.750 As
0.750 0.250 0.500 As
0.250 0.750 0.500 As
0.500 0.750 0.250 As
0.250 0.500 0.750 As
0.000 0.000 0.000 Sr
```

- Electronic total energy: -4.145 eV per atom
- Space group: Im-3m
- Energy of formation: 80 meV/atom

***

[11]
Crystalline Fe4ReW at its relaxed geometry, computed with GGA-PBE.

Cell and atoms, written as POSCAR:
```
Fe4ReW
1.0
-0.980 -3.068 3.413
-0.384 -4.571 -0.992
3.291 -3.005 1.471
Fe W Re
4 1 1
Direct
0.625 0.625 0.625 Fe
0.625 0.625 0.125 Fe
0.125 0.625 0.625 Fe
0.625 0.125 0.625 Fe
0.000 0.000 0.000 W
0.250 0.250 0.250 Re
```

- Electronic total energy: -9.884 eV per atom
- Space group: F-43m
- Energy of formation: -9 meV/atom

***

[12]
Crystalline Cu2TeAs at its relaxed geometry, computed with GGA-PBE.

Cell and atoms, written as POSCAR:
```
Cu2TeAs
1.0
-2.740 -0.016 1.236
1.295 -1.710 2.847
1.454 6.614 3.310
Te Cu As
1 2 1
Direct
0.000 0.000 0.410 Te
0.000 0.000 0.024 Cu
0.500 0.500 0.196 Cu
0.500 0.500 0.870 As
```

- Electronic total energy: -3.885 eV per atom
- Space group: Pmm2
- Formation energy (no corrections): 111 meV/atom
- Energy above the most stable polymorph in this dataset: 53 meV/atom

***

[13]
Crystalline HfTi2C3 at its relaxed geometry, computed with GGA-PBE.

Cell and atoms, written as POSCAR:
```
HfTi2C3
1.0
-1.893 -2.383 0.822
3.531 -2.703 0.296
-0.310 3.705 3.980
Ti Hf C
2 1 3
Direct
0.333 0.833 0.665 Ti
0.667 0.167 0.335 Ti
0.000 0.500 0.000 Hf
0.000 0.000 0.000 C
0.327 0.327 0.654 C
0.673 0.673 0.346 C
```

- Electronic total energy: -9.711 eV per atom
- Space group: Immm
- Energy of formation: -809 meV/atom
- Energy above the most stable polymorph in this dataset: 0 meV/atom

***

[14]
Crystalline Ac2Sm7Ho4 at its relaxed geometry, computed with GGA-PBE.

Cell and atoms, written as POSCAR:
```
Ac2Sm7Ho4
1.0
-3.452 -1.527 -5.012
6.099 -1.460 0.171
-2.960 -11.709 5.606
Sm Ac Ho
7 2 4
Direct
0.367 0.367 0.227 Sm
0.000 0.633 0.227 Sm
0.000 0.367 0.773 Sm
0.367 0.000 0.773 Sm
0.633 0.633 0.773 Sm
0.000 0.000 0.000 Sm
0.633 0.000 0.227 Sm
0.333 0.667 0.000 Ac
0.667 0.333 0.000 Ac
0.333 0.667 0.500 Ho
0.000 0.000 0.394 Ho
0.667 0.333 0.500 Ho
0.000 0.000 0.606 Ho
```

- Electronic total energy: -4.367 eV per atom
- Space group: P-31m
- Energy of formation: 215 meV/atom

***

[15]
Crystalline CeTh2Sc4 at its relaxed geometry, computed with GGA-PBE.

Cell and atoms, written as POSCAR:
```
CeTh2Sc4
1.0
-0.348 2.172 2.612
-2.610 -2.001 -0.916
7.970 -12.874 11.769
Sc Th Ce
4 2 1
Direct
0.904 0.807 0.946 Sc
0.524 0.049 0.813 Sc
0.001 0.003 0.241 Sc
0.428 0.856 0.523 Sc
0.714 0.429 0.382 Th
0.619 0.239 0.093 Th
0.810 0.620 0.670 Ce
```

- Electronic total energy: -6.523 eV per atom
- Space group: Cm
- Energy of formation: 62 meV/atom
- Energy above the most stable polymorph in this dataset: 0 meV/atom

***

[16]
Crystalline Nd6GeS2Cl3 at its relaxed geometry, computed with GGA-PBE.

Cell and atoms, written as POSCAR:
```
Nd6GeS2Cl3
1.0
4.211 0.000 0.000
0.000 8.275 0.148
-2.105 -2.544 8.784
Cl S Nd Ge
3 2 6 1
Direct
0.162 0.828 0.324 Cl
0.838 0.172 0.676 Cl
0.500 0.500 0.000 Cl
0.169 0.334 0.338 S
0.831 0.666 0.662 S
0.337 0.893 0.674 Nd
0.989 0.758 0.979 Nd
0.663 0.107 0.326 Nd
0.011 0.242 0.021 Nd
0.674 0.559 0.348 Nd
0.326 0.441 0.652 Nd
0.500 0.000 0.000 Ge
```

- Electronic total energy: -5.484 eV per atom
- Space group: C2/m
- Formation energy (no corrections): -1566 meV/atom

***

[17]
Crystalline CsBPd2 at its relaxed geometry, computed with GGA-PBE.

Cell and atoms, written as POSCAR:
```
CsBPd2
1.0
-4.438 -3.037 1.980
3.388 -2.359 3.975
-1.883 1.773 6.789
B Cs Pd
2 2 4
Direct
0.500 0.500 0.000 B
0.250 0.750 0.500 B
0.750 0.250 0.500 Cs
0.000 0.000 0.000 Cs
0.375 0.626 0.750 Pd
0.376 0.625 0.250 Pd
0.875 0.624 0.750 Pd
0.374 0.125 0.250 Pd
```

- Electronic total energy: -4.344 eV per atom
- Space group: I-42d
- Energy of formation: 135 meV/atom

***

[18]
Crystalline ErSc2Hg at its relaxed geometry, computed with GGA-PBE.

Cell and atoms, written as POSCAR:
```
ErSc2Hg
1.0
-0.571 -2.856 1.776
0.841 -3.029 -1.324
9.263 -1.224 4.285
Hg Sc Er
1 2 1
Direct
0.000 0.000 0.000 Hg
0.257 0.257 0.229 Sc
0.743 0.743 0.771 Sc
0.500 0.500 0.500 Er
```

- Electronic total energy: -4.490 eV per atom
- Space group: R-3m
- Energy of formation: -108 meV/atom
- Energy above the most stable polymorph in this dataset: 81 meV/atom

***

[19]
Crystalline Al2Zn2Ag5 at its relaxed geometry, computed with GGA-PBE.

Cell and atoms, written as POSCAR:
```
Al2Zn2Ag5
1.0
0.534 0.645 5.004
4.959 2.528 4.182
0.040 6.817 0.946
Al Zn Ag
2 2 5
Direct
0.731 0.498 0.123 Al
0.269 0.502 0.877 Al
0.975 0.166 0.557 Zn
0.025 0.834 0.443 Zn
0.742 0.580 0.686 Ag
0.453 0.964 0.227 Ag
0.258 0.420 0.314 Ag
0.547 0.036 0.773 Ag
0.000 0.000 0.000 Ag
```

- Electronic total energy: -2.722 eV per atom
- Space group: P-1
- Energy of formation: -23 meV/atom
- Energy above the most stable polymorph in this dataset: 0 meV/atom

***

[20]
Crystalline ScCr2 at its relaxed geometry, computed with GGA-PBE.

Cell and atoms, written as POSCAR:
```
ScCr2
1.0
3.628 0.000 0.000
-1.814 3.142 0.000
0.000 0.000 4.413
Sc Cr
1 2
Direct
0.000 0.000 0.000 Sc
0.667 0.333 0.500 Cr
0.333 0.667 0.500 Cr
```

- Electronic total energy: -8.048 eV per atom
- Space group: P6/mmm
- Energy of formation: 478 meV/atom

***

[21]
Crystalline MnSn at its relaxed geometry, computed with GGA-PBE.

Cell and atoms, written as POSCAR:
```
MnSn
1.0
-5.233 0.250 -1.468
1.252 -2.169 -4.830
-0.817 -5.046 2.054
Sn Mn
4 4
Direct
0.780 0.780 0.000 Sn
0.280 0.720 0.500 Sn
0.220 0.220 0.000 Sn
0.720 0.280 0.500 Sn
0.283 0.717 0.000 Mn
0.717 0.283 0.000 Mn
0.217 0.217 0.500 Mn
0.783 0.783 0.500 Mn
```

- Electronic total energy: -6.255 eV per atom
- Space group: P4_2/mnm
- Energy of formation: 331 meV/atom

***

[22]
Crystalline Dy2YTmS6 at its relaxed geometry, computed with GGA-PBE.

Cell and atoms, written as POSCAR:
```
Dy2YTmS6
1.0
-3.439 -0.494 -5.947
1.295 -5.218 -4.305
-5.047 -5.277 -0.632
Dy S Tm Y
2 6 1 1
Direct
0.016 0.016 0.951 Dy
0.517 0.517 0.448 Dy
0.116 0.416 0.753 S
0.610 0.216 0.252 S
0.922 0.610 0.252 S
0.416 0.714 0.753 S
0.714 0.116 0.753 S
0.216 0.922 0.251 S
0.317 0.317 0.049 Tm
0.816 0.816 0.553 Y
```

- Electronic total energy: -6.553 eV per atom
- Space group: R3
- Formation energy (no corrections): -2063 meV/atom

***

[23]
Crystalline TbEuDyCd at its relaxed geometry, computed with GGA-PBE.

Cell and atoms, written as POSCAR:
```
TbEuDyCd
1.0
5.515 0.000 0.000
2.758 4.776 0.000
2.758 1.592 4.503
Cd Dy Eu Tb
1 1 1 1
Direct
0.750 0.750 0.750 Cd
0.000 0.000 0.000 Dy
0.250 0.250 0.250 Eu
0.500 0.500 0.500 Tb
```

- Electronic total energy: -5.107 eV per atom
- Space group: F-43m
- Energy of formation: -1 meV/atom

***

[24]
Crystalline AcY2Er at its relaxed geometry, computed with GGA-PBE.

Cell and atoms, written as POSCAR:
```
AcY2Er
1.0
-2.481 -2.355 -2.293
1.980 -3.364 1.312
-5.320 -0.632 6.405
Y Ac Er
2 1 1
Direct
0.000 0.000 0.778 Y
0.000 0.000 0.222 Y
0.500 0.500 0.500 Ac
0.500 0.500 0.000 Er
```

- Electronic total energy: -5.301 eV per atom
- Space group: P4/mmm
- Energy of formation: 98 meV/atom
- Energy above the most stable polymorph in this dataset: 54 meV/atom